[1]
NaNiO2 | GGA-PBEsol | relaxed

Unit cell a=5.3868 b=3.0038 c=5.0331 alpha=90.00 beta=106.97 gamma=90.00
Space group P2_1/c (No. 14)
Asymmetric unit:
Na 0.0000 0.0000 0.0000 (multiplicity 2)
Ni 0.5000 0.0000 0.5000 (multiplicity 2)
O 0.3096 0.0417 0.7649 (multiplicity 4)

Electronic total energy ... -5.641 eV/atom
Total magnetization ... 2.01 μB per cell
E_form (uncorrected) ... -434.9 kJ/mol of formula units

---

[2]
AlCd2Pb | GGA-PBEsol | relaxed

Unit cell a=3.2041 b=3.2041 c=8.7848 alpha=90.00 beta=90.00 gamma=90.00
Space group P4/mmm (No. 123)
Asymmetric unit:
Al 0.0000 0.0000 0.0000 (multiplicity 1)
Cd 0.5000 0.5000 0.2170 (multiplicity 2)
Pb 0.0000 0.0000 0.5000 (multiplicity 1)

Electronic total energy ... -2.489 eV/atom
Total magnetization ... 0.00 μB per cell
ΔE to the lowest computed polymorph ... 0.000 eV per formula unit
Formation energy from the elements ... 0.132 eV per atom

---

[3]
BaFe2Ir | GGA-PBEsol | relaxed

Unit cell a=3.1094 b=3.1094 c=7.5173 alpha=90.00 beta=90.00 gamma=90.00
Space group P4mm (No. 99)
Asymmetric unit:
Ba 0.0000 0.0000 0.0000 (multiplicity 1)
Fe 0.0000 0.0000 0.4983 (multiplicity 1)
Fe 0.5000 0.5000 0.3458 (multiplicity 1)
Ir 0.5000 0.5000 0.6718 (multiplicity 1)

Electronic total energy ... -6.949 eV/atom
Total magnetization ... 5.63 μB per cell
Formation energy from the elements ... 0.526 eV per atom